# 1
This record from Alexandria describes a geometry-optimized Mg7CdAg2 structure. The functional is GGA-PBE.

Cell lengths 4.780, 4.780, 11.397 Å; angles 90.00, 90.00, 120.00 degrees
Positions (direct):
Mg  0.667  0.333  0.117
Mg  0.667  0.333  0.847
Mg  0.333  0.667  0.958
Mg  0.000  0.000  0.724
Mg  0.667  0.333  0.588
Mg  0.333  0.667  0.437
Mg  0.000  0.000  0.283
Ag  0.667  0.333  0.353
Ag  0.333  0.667  0.699
Cd  0.000  0.000  0.010

Total DFT energy (no corrections), eV/atom: -1.845
Calculated density, g cm⁻³: 3.67
Energy relative to the elements, eV per atom: -0.067

# 2
This record from Alexandria describes a geometry-optimized MgCd2Ag5 structure. The functional is GGA-PBE.

Cell lengths 4.853, 6.201, 6.201 Å; angles 90.00, 90.00, 90.00 degrees
Positions (direct):
Ag  0.000  0.285  0.285
Ag  0.500  0.000  0.000
Ag  0.000  0.285  0.715
Ag  0.000  0.715  0.715
Ag  0.000  0.715  0.285
Mg  0.000  0.000  0.000
Cd  0.500  0.000  0.500
Cd  0.500  0.500  0.000

Total DFT energy (no corrections), eV/atom: -1.868
ΔE to the lowest computed polymorph, meV/atom: 442
Calculated density, g cm⁻³: 7.02
Energy relative to the elements, eV per atom: 0.342

# 3
This record from Alexandria describes a geometry-optimized Mg3Cd2Ag8 structure. The functional is GGA-PBE.

Cell lengths 4.800, 8.241, 8.241 Å; angles 53.72, 90.00, 90.00 degrees
Positions (direct):
Mg  0.000  0.704  0.296
Mg  0.000  0.296  0.704
Mg  0.500  0.000  0.000
Ag  0.000  0.879  0.879
Ag  0.500  0.586  0.207
Ag  0.500  0.414  0.793
Ag  0.000  0.669  0.669
Ag  0.500  0.207  0.586
Ag  0.000  0.331  0.331
Ag  0.500  0.793  0.414
Ag  0.000  0.121  0.121
Cd  0.500  0.777  0.776
Cd  0.500  0.223  0.224

Total DFT energy (no corrections), eV/atom: -2.288
ΔE to the lowest computed polymorph, meV/atom: 0
Calculated density, g cm⁻³: 7.34
Energy relative to the elements, eV per atom: -0.024